Entry 1:
First-principles (GGA-PBE) data for a geometry-optimized Mn2CoAg structure, as listed in the Alexandria database.

Cell lengths 3.765, 3.765, 8.107 Å; angles 90.00, 90.00, 90.00 degrees
Space group I-4m2 (No. 119)
Symmetry-distinct sites (fractional):
Mn: 0.000 0.000 0.000 x2
Mn: 0.000 0.500 0.250 x2
Co: 0.000 0.000 0.500 x2
Ag: 0.000 0.500 0.750 x2

Summary:
calculated volume = 114.9 Å³ per cell
VASP energy = -6.7045 eV/atom
relative energy among the computed polymorphs = 204 meV/atom
formation enthalpy at 0 K = 1.48 eV/f.u.

---

Entry 2:
First-principles (GGA-PBE) data for a geometry-optimized Ce2GeO structure, as listed in the Alexandria database.

Cell lengths 3.8432, 3.8432, 19.3609 Å; angles 90.00, 90.00, 120.00 degrees
Space group R-3m (No. 166, hexagonal axes)
Symmetry-distinct sites (fractional):
Ce: 0.0000 0.0000 0.2352 x6
Ge: 0.0000 0.0000 0.0000 x3
O: 0.0000 0.0000 0.5000 x3

Summary:
calculated volume = 247.7 Å³ per cell
VASP energy = -7.0211 eV/atom
relative energy among the computed polymorphs = 69 meV/atom
raw formation energy = -1.660 eV/atom

---

> What is the formula in the second record?

Ce2GeO

---

> Which value of calculated volume does entry 1 give?

114.9 Å³ per cell

---

> Which of these has the lowest relative energy among the computed polymorphs?

Ce2GeO

---

> Which value of relative energy among the computed polymorphs does entry 1 give?

204 meV/atom